[1]
VASP calculation (PBE-GGA) on a relaxed HfMgMnS4 crystal.

Structure (CIF):
```
data_HfMgMnS4
_cell_length_a 7.439
_cell_length_b 7.497
_cell_length_c 10.775
_cell_angle_alpha 90.00
_cell_angle_beta 90.00
_cell_angle_gamma 90.00
_symmetry_space_group_name_H-M 'I m m a'
_symmetry_Int_Tables_number 74
_symmetry_space_group_name_Hall '-I 2b 2'
loop_
_atom_site_label
_atom_site_type_symbol
_atom_site_fract_x
_atom_site_fract_y
_atom_site_fract_z
_atom_site_occupancy
Hf1 Hf 0.000 0.000 0.000 1
Mg1 Mg 0.000 0.250 0.359 1
Mn1 Mn 0.250 0.250 0.750 1
S1 S 0.000 0.022 0.764 1
S2 S 0.236 0.250 0.999 1
```

As for the raw total energy: -6.5194 eV per atom. As for the uncorrected formation energy: -1201 meV/atom.

[2]
VASP calculation (PBE-GGA) on a relaxed TmZrSe crystal.

Structure (CIF):
```
data_TmZrSe
_cell_length_a 5.573
_cell_length_b 5.573
_cell_length_c 9.164
_cell_angle_alpha 90.00
_cell_angle_beta 90.02
_cell_angle_gamma 90.00
_symmetry_space_group_name_H-M 'C 1 2/m 1'
_symmetry_Int_Tables_number 12
_symmetry_space_group_name_Hall '-C 2y'
loop_
_atom_site_label
_atom_site_type_symbol
_atom_site_fract_x
_atom_site_fract_y
_atom_site_fract_z
_atom_site_occupancy
Tm1 Tm 0.249 0.000 0.301 1
Zr1 Zr 0.249 0.500 0.060 1
Se1 Se 0.249 0.500 0.371 1
```

The calculation puts the energy above the most stable polymorph in this dataset at 0.000 eV per atom. As for the raw total energy: -6.5945 eV per atom. As for the uncorrected formation energy: -1093 meV/atom.

[3]
VASP calculation (PBE-GGA) on a relaxed AlCu2Ru crystal.

Structure (CIF):
```
data_AlCu2Ru
_cell_length_a 2.7249
_cell_length_b 2.7249
_cell_length_c 24.9250
_cell_angle_alpha 90.00
_cell_angle_beta 90.00
_cell_angle_gamma 120.00
_symmetry_space_group_name_H-M 'R 3 m'
_symmetry_Int_Tables_number 160
_symmetry_space_group_name_Hall 'R 3 -2"'
loop_
_atom_site_label
_atom_site_type_symbol
_atom_site_fract_x
_atom_site_fract_y
_atom_site_fract_z
_atom_site_occupancy
Al1 Al 0.0000 0.0000 0.0000 1
Cu1 Cu 0.0000 0.0000 0.2505 1
Cu2 Cu 0.0000 0.0000 0.5019 1
Ru1 Ru 0.0000 0.0000 0.7483 1
```

As for the calculated formation energy: -0.04 eV per atom. As for the raw total energy: -5.3384 eV per atom.

[4]
VASP calculation (PBE-GGA) on a relaxed TiMn3I crystal.

Structure (CIF):
```
data_TiMn3I
_cell_length_a 4.722
_cell_length_b 4.722
_cell_length_c 4.722
_cell_angle_alpha 90.00
_cell_angle_beta 90.00
_cell_angle_gamma 90.00
_symmetry_space_group_name_H-M 'P m -3 m'
_symmetry_Int_Tables_number 221
_symmetry_space_group_name_Hall '-P 4 2 3'
loop_
_atom_site_label
_atom_site_type_symbol
_atom_site_fract_x
_atom_site_fract_y
_atom_site_fract_z
_atom_site_occupancy
Ti1 Ti 0.000 0.000 0.000 1
Mn1 Mn 0.000 0.000 0.500 1
I1 I 0.500 0.500 0.500 1
```

The calculation puts the energy above the most stable polymorph in this dataset at 0.000 eV per atom. As for the raw total energy: -6.2658 eV per atom. As for the uncorrected formation energy: 1125 meV/atom.

[5]
VASP calculation (PBE-GGA) on a relaxed CsRb2AgF4 crystal.

Structure (CIF):
```
data_CsRb2AgF4
_cell_length_a 4.043
_cell_length_b 13.627
_cell_length_c 13.928
_cell_angle_alpha 90.00
_cell_angle_beta 90.00
_cell_angle_gamma 90.00
_symmetry_space_group_name_H-M 'C m c m'
_symmetry_Int_Tables_number 63
_symmetry_space_group_name_Hall '-C 2c 2'
loop_
_atom_site_label
_atom_site_type_symbol
_atom_site_fract_x
_atom_site_fract_y
_atom_site_fract_z
_atom_site_occupancy
Cs1 Cs 0.000 0.116 0.250 1
Rb1 Rb 0.000 0.371 0.045 1
Ag1 Ag 0.000 0.149 0.750 1
F1 F 0.000 0.000 0.000 1
F2 F 0.000 0.263 0.626 1
F3 F 0.000 0.442 0.250 1
```

As for the raw total energy: -3.8681 eV per atom. As for the uncorrected formation energy: -2227 meV/atom.

[6]
VASP calculation (PBE-GGA) on a relaxed Li4In5Ir crystal.

Structure (CIF):
```
data_Li4In5Ir
_cell_length_a 3.444
_cell_length_b 3.444
_cell_length_c 15.880
_cell_angle_alpha 90.00
_cell_angle_beta 90.00
_cell_angle_gamma 90.00
_symmetry_space_group_name_H-M 'P 4/m m m'
_symmetry_Int_Tables_number 123
_symmetry_space_group_name_Hall '-P 4 2'
loop_
_atom_site_label
_atom_site_type_symbol
_atom_site_fract_x
_atom_site_fract_y
_atom_site_fract_z
_atom_site_occupancy
Li1 Li 0.000 0.000 0.101 1
Li2 Li 0.000 0.000 0.308 1
In1 In 0.500 0.500 0.000 1
In2 In 0.500 0.500 0.205 1
In3 In 0.500 0.500 0.406 1
Ir1 Ir 0.000 0.000 0.500 1
```

As for the calculated formation energy: -0.23 eV per atom. As for the raw total energy: -3.2462 eV per atom.

[7]
VASP calculation (PBE-GGA) on a relaxed KAuOF2 crystal.

Structure (CIF):
```
data_KAuOF2
_cell_length_a 4.770
_cell_length_b 4.770
_cell_length_c 4.804
_cell_angle_alpha 90.00
_cell_angle_beta 90.00
_cell_angle_gamma 90.00
_symmetry_space_group_name_H-M 'P 4/m m m'
_symmetry_Int_Tables_number 123
_symmetry_space_group_name_Hall '-P 4 2'
loop_
_atom_site_label
_atom_site_type_symbol
_atom_site_fract_x
_atom_site_fract_y
_atom_site_fract_z
_atom_site_occupancy
K1 K 0.000 0.000 0.000 1
Au1 Au 0.500 0.500 0.500 1
O1 O 0.000 0.000 0.500 1
F1 F 0.000 0.500 0.000 1
```

The calculation puts the energy above the most stable polymorph in this dataset at 1.124 eV per atom. As for the raw total energy: -2.6950 eV per atom. As for the uncorrected formation energy: -80 meV/atom.

[8]
VASP calculation (PBE-GGA) on a relaxed CrAsPtBr2 crystal.

Structure (CIF):
```
data_CrAsPtBr2
_cell_length_a 5.358
_cell_length_b 5.358
_cell_length_c 4.733
_cell_angle_alpha 90.00
_cell_angle_beta 90.00
_cell_angle_gamma 90.00
_symmetry_space_group_name_H-M 'P 4/m m m'
_symmetry_Int_Tables_number 123
_symmetry_space_group_name_Hall '-P 4 2'
loop_
_atom_site_label
_atom_site_type_symbol
_atom_site_fract_x
_atom_site_fract_y
_atom_site_fract_z
_atom_site_occupancy
Cr1 Cr 0.000 0.000 0.000 1
As1 As 0.500 0.500 0.000 1
Pt1 Pt 0.500 0.500 0.500 1
Br1 Br 0.000 0.500 0.500 1
```

The calculation puts the energy above the most stable polymorph in this dataset at 0.000 eV per atom. As for the raw total energy: -4.2073 eV per atom. As for the uncorrected formation energy: 525 meV/atom.

> Which of these has the lowest raw total energy?

TmZrSe

> Among the records above, which one has the highest raw total energy?

KAuOF2

> raw total energy of number 8 (CrAsPtBr2)?

-4.2073 eV per atom